DFT (SCAN) results for a crystal of Gd5P12Ru19 relaxed with PBEsol.

abc: 3.9226 12.4178 12.4178
angles: 120.00 90.00 90.00
Atoms (fractional coordinates):
Gd: 0.5000 0.1839 0.1839
Gd: 0.5000 0.0000 0.8161
Gd: 0.5000 0.8161 0.0000
Gd: 0.0000 0.6667 0.3333
Gd: 0.0000 0.3333 0.6667
P: 0.0000 0.8152 0.8152
P: 0.0000 0.0000 0.1848
P: 0.0000 0.1848 0.0000
P: 0.5000 0.4778 0.1708
P: 0.5000 0.6931 0.5222
P: 0.5000 0.8292 0.3069
P: 0.5000 0.5222 0.6931
P: 0.5000 0.3069 0.8292
P: 0.5000 0.1708 0.4778
P: 0.0000 0.3733 0.3733
P: 0.0000 0.0000 0.6267
P: 0.0000 0.6267 0.0000
Ru: 0.0000 0.5556 0.5556
Ru: 0.0000 0.0000 0.4444
Ru: 0.0000 0.4444 0.0000
Ru: 0.5000 0.7166 0.7166
Ru: 0.5000 0.0000 0.2834
Ru: 0.5000 0.2834 0.0000
Ru: 0.0000 0.3774 0.1845
Ru: 0.0000 0.8071 0.6226
Ru: 0.0000 0.8155 0.1929
Ru: 0.0000 0.6226 0.8071
Ru: 0.0000 0.1929 0.8155
Ru: 0.0000 0.1845 0.3774
Ru: 0.5000 0.4907 0.3660
Ru: 0.5000 0.8753 0.5093
Ru: 0.5000 0.6340 0.1247
Ru: 0.5000 0.5093 0.8753
Ru: 0.5000 0.1247 0.6340
Ru: 0.5000 0.3660 0.4907
Ru: 0.0000 0.0000 0.0000

Properties
Space group ... No. 189
Density of states at the Fermi level ... 0.525 states/eV/atom
ΔE_f ... -918 meV per atom